# LaTeP2O | Alexandria | PBE | optimized geometry
data_LaTeP2O
_chemical_formula_sum 'La1 Te1 P2 O1'
_space_group_name_H-M_alt 'P 4/m m m'
_space_group_IT_number 123
_space_group_name_Hall '-P 4 2'
_cell_length_a 5.7090
_cell_length_b 5.7090
_cell_length_c 4.1955
_cell_angle_alpha 90.00
_cell_angle_beta 90.00
_cell_angle_gamma 90.00
loop_
_atom_site_label
_atom_site_fract_x
_atom_site_fract_y
_atom_site_fract_z
La1 0.0000 0.0000 0.0000
Te1 0.5000 0.5000 0.5000
P1 0.0000 0.5000 0.0000
O1 0.0000 0.0000 0.5000
# - electronic total energy (eV/cell) = -23.9

# CrAg2Ru | Alexandria | PBE | optimized geometry
data_CrAg2Ru
_chemical_formula_sum 'Cr4 Ag8 Ru4'
_space_group_name_H-M_alt 'F -4 3 m'
_space_group_IT_number 216
_space_group_name_Hall 'F -4 2 3'
_cell_length_a 6.3471
_cell_length_b 6.3471
_cell_length_c 6.3471
_cell_angle_alpha 90.00
_cell_angle_beta 90.00
_cell_angle_gamma 90.00
loop_
_atom_site_label
_atom_site_fract_x
_atom_site_fract_y
_atom_site_fract_z
Cr1 0.0000 0.0000 0.0000
Ag1 0.0000 0.0000 0.5000
Ag2 0.2500 0.2500 0.2500
Ru1 0.2500 0.2500 0.7500
# - E_form (eV per atom) = 0.539

# TbHo2InN | Alexandria | PBE | optimized geometry
data_TbHo2InN
_chemical_formula_sum 'Tb1 Ho2 In1 N1'
_space_group_name_H-M_alt 'P 4/m m m'
_space_group_IT_number 123
_space_group_name_Hall '-P 4 2'
_cell_length_a 4.7936
_cell_length_b 4.7936
_cell_length_c 4.8473
_cell_angle_alpha 90.00
_cell_angle_beta 90.00
_cell_angle_gamma 90.00
loop_
_atom_site_label
_atom_site_fract_x
_atom_site_fract_y
_atom_site_fract_z
Tb1 0.0000 0.0000 0.0000
Ho1 0.0000 0.5000 0.5000
In1 0.5000 0.5000 0.0000
N1 0.0000 0.0000 0.5000
# - electronic total energy (eV/cell) = -29.9

> Which formula does entry 2 have?

CrAg2Ru